Entry 1:
An optimized crystal structure of RbPOsO2. Source: the Alexandria database, functional PBE-GGA.

Cell: 3.879 3.879 7.252 Å, 90.00 90.00 90.00°
Fractional positions:
P (0.000, 0.000, 0.500)
Rb (0.000, 0.000, 0.000)
O (0.000, 0.500, 0.000)
O (0.500, 0.000, 0.000)
Os (0.500, 0.500, 0.500)

Values from the calculation:
SG: P4/mmm, No. 123
ΔE to the lowest computed polymorph: 2236 meV/atom
N(E_F): 3.92 states/eV/f.u.
Uncorrected formation energy: 1.9710 eV per atom
ρ: 5.15 g/cm3
Crystal system: tetragonal

=====

Entry 2:
An optimized crystal structure of RbPOsO2. Source: the Alexandria database, functional PBE-GGA.

Cell: 4.097 4.097 4.655 Å, 90.00 90.00 90.00°
Fractional positions:
O (0.500, 0.000, 0.000)
O (0.000, 0.500, 0.000)
P (0.000, 0.000, 0.500)
Rb (0.500, 0.500, 0.500)
Os (0.000, 0.000, 0.000)

Values from the calculation:
SG: P4/mmm, No. 123
ΔE to the lowest computed polymorph: 0 meV/atom
N(E_F): 4.84 states/eV/f.u.
Uncorrected formation energy: -0.2654 eV per atom
ρ: 7.20 g/cm3
Crystal system: tetragonal

=====

Entry 3:
An optimized crystal structure of RePOsO2. Source: the Alexandria database, functional PBE-GGA.

Cell: 3.694 3.694 5.471 Å, 90.00 90.00 90.00°
Fractional positions:
O (0.000, 0.500, 0.000)
O (0.500, 0.000, 0.000)
P (0.000, 0.000, 0.500)
Os (0.500, 0.500, 0.500)
Re (0.000, 0.000, 0.000)

Values from the calculation:
SG: P4/mmm, No. 123
ΔE to the lowest computed polymorph: 0 meV/atom
N(E_F): 3.79 states/eV/f.u.
Uncorrected formation energy: 0.0115 eV per atom
ρ: 9.77 g/cm3
Crystal system: tetragonal

=====

Entry 4:
An optimized crystal structure of RePOsO2. Source: the Alexandria database, functional PBE-GGA.

Cell: 3.693 3.693 5.605 Å, 90.00 90.00 90.00°
Fractional positions:
O (0.000, 0.500, 0.000)
O (0.500, 0.000, 0.000)
Os (0.000, 0.000, 0.000)
P (0.000, 0.000, 0.500)
Re (0.500, 0.500, 0.500)

Values from the calculation:
SG: P4/mmm, No. 123
ΔE to the lowest computed polymorph: 270 meV/atom
N(E_F): 4.73 states/eV/f.u.
Uncorrected formation energy: 0.2810 eV per atom
ρ: 9.54 g/cm3
Crystal system: tetragonal